VASP calculation (PBE) on Zn2Cd2Sn after structural relaxation.

Unit cell a=4.1728 b=4.1728 c=6.9259 alpha=72.47 beta=72.47 gamma=90.00
Element x y z (fractional)
Zn 0.4026 0.4026 0.1948
Zn 0.5974 0.5974 0.8052
Sn 0.0000 0.0000 0.0000
Cd 0.7500 0.2500 0.5000
Cd 0.2500 0.7500 0.5000

Properties
spin magnetization: 0.0 μB/cell
offset from the most stable computed form: 0.005 eV/atom
space group: I4/mmm (139)
formation enthalpy at 0 K: 0.1127 eV/atom

VASP calculation (PBE) on ZnCd2Sn2 after structural relaxation.

Unit cell a=4.0421 b=4.0421 c=8.4591 alpha=76.18 beta=76.18 gamma=90.00
Element x y z (fractional)
Zn 0.0000 0.0000 0.0000
Sn 0.4037 0.4037 0.1925
Sn 0.5963 0.5963 0.8075
Cd 0.7500 0.2500 0.5000
Cd 0.2500 0.7500 0.5000

Properties
spin magnetization: 0.0 μB/cell
offset from the most stable computed form: 0.067 eV/atom
space group: I4/mmm (139)
formation enthalpy at 0 K: 0.2127 eV/atom

VASP calculation (PBE) on Zn2CdSn after structural relaxation.

Unit cell a=4.0219 b=4.5386 c=4.5386 alpha=90.00 beta=90.00 gamma=90.00
Element x y z (fractional)
Zn 0.0000 0.0000 0.5000
Zn 0.0000 0.5000 0.0000
Sn 0.5000 0.5000 0.5000
Cd 0.5000 0.0000 0.0000

Properties
spin magnetization: 0.0 μB/cell
offset from the most stable computed form: 0.000 eV/atom
space group: P4/mmm (123)
formation enthalpy at 0 K: 0.1231 eV/atom

VASP calculation (PBE) on Zn2Cd2Sn after structural relaxation.

Unit cell a=3.9966 b=3.9966 c=7.4250 alpha=74.39 beta=74.39 gamma=90.00
Element x y z (fractional)
Zn 0.7500 0.2500 0.5000
Zn 0.2500 0.7500 0.5000
Sn 0.0000 0.0000 0.0000
Cd 0.3934 0.3934 0.2131
Cd 0.6066 0.6066 0.7869

Properties
spin magnetization: 0.0 μB/cell
offset from the most stable computed form: 0.017 eV/atom
space group: I4/mmm (139)
formation enthalpy at 0 K: 0.1248 eV/atom

VASP calculation (PBE) on ZnCd2Sn after structural relaxation.

Unit cell a=5.0767 b=5.0767 c=5.0767 alpha=60.00 beta=60.00 gamma=60.00
Element x y z (fractional)
Zn 0.0000 0.0000 0.0000
Sn 0.5000 0.5000 0.5000
Cd 0.2500 0.2500 0.2500
Cd 0.7500 0.7500 0.7500

Properties
spin magnetization: 0.0 μB/cell
offset from the most stable computed form: 0.065 eV/atom
space group: Fm-3m (225)
formation enthalpy at 0 K: 0.1504 eV/atom

VASP calculation (PBE) on ZnCdSn after structural relaxation.

Unit cell a=4.3250 b=6.6878 c=6.2203 alpha=111.41 beta=108.80 gamma=108.85
Element x y z (fractional)
Zn 0.8387 0.7079 0.6452
Zn 0.8446 0.4480 0.8776
Sn 0.4050 0.9339 0.5444
Sn 0.6078 0.7978 0.0692
Cd 0.0612 0.3493 0.4462
Cd 0.3192 0.2541 0.0418

Properties
spin magnetization: 0.0 μB/cell
space group: P1 (1)
formation enthalpy at 0 K: 0.0859 eV/atom

VASP calculation (PBE) on Zn5Cd3Sn12 after structural relaxation.

Unit cell a=14.2972 b=14.2972 c=14.2972 alpha=109.47 beta=109.47 gamma=109.47
Element x y z (fractional)
Cd 0.7500 0.3750 0.1250
Cd 0.8750 0.7500 0.1250
Cd 0.3750 0.7500 0.6250
Cd 0.2500 0.1250 0.3750
Cd 0.8750 0.1250 0.2500
Cd 0.3750 0.6250 0.2500
Cd 0.6250 0.3750 0.7500
Cd 0.1250 0.8750 0.7500
Cd 0.7500 0.8750 0.6250
Cd 0.6250 0.2500 0.3750
Cd 0.1250 0.2500 0.8750
Cd 0.2500 0.6250 0.8750
Zn 0.1250 0.3750 0.2500
Zn 0.0000 0.5000 0.0000
Zn 0.0000 0.0000 0.0000
Zn 0.3750 0.2500 0.1250
Zn 0.5000 0.0000 0.5000
Zn 0.5000 0.5000 0.0000
Zn 0.1250 0.7500 0.3750
Zn 0.7500 0.1250 0.8750
Zn 0.7500 0.6250 0.3750
Zn 0.3750 0.1250 0.7500
Zn 0.6250 0.8750 0.2500
Zn 0.5000 0.5000 0.5000
Zn 0.5000 0.0000 0.0000
Zn 0.0000 0.0000 0.5000
Zn 0.2500 0.3750 0.6250
Zn 0.2500 0.8750 0.1250
Zn 0.0000 0.5000 0.5000
Zn 0.8750 0.2500 0.6250
Zn 0.6250 0.7500 0.8750
Zn 0.8750 0.6250 0.7500
Sn 0.7229 0.1235 0.0527
Sn 0.3298 0.5527 0.4292
Sn 0.9473 0.3765 0.2771
Sn 0.5527 0.2229 0.1235
Sn 0.5994 0.7229 0.6702
Sn 0.9473 0.5708 0.1702
Sn 0.3298 0.7771 0.4006
Sn 0.0708 0.9006 0.1235
Sn 0.5708 0.9473 0.6702
Sn 0.7229 0.5994 0.1702
Sn 0.7771 0.4473 0.3765
Sn 0.8298 0.9292 0.0527
Sn 0.1235 0.7229 0.5527
Sn 0.3765 0.4292 0.0994
Sn 0.0994 0.9292 0.3765
Sn 0.4006 0.1235 0.5708
Sn 0.0994 0.1702 0.2229
Sn 0.4473 0.6702 0.0708
Sn 0.8298 0.9006 0.2771
Sn 0.1235 0.4006 0.0708
Sn 0.3765 0.9473 0.7771
Sn 0.5708 0.6235 0.4006
Sn 0.9292 0.8298 0.5527
Sn 0.7771 0.3298 0.9006
Sn 0.4292 0.3765 0.5994
Sn 0.0708 0.1702 0.4473
Sn 0.2229 0.6702 0.0994
Sn 0.1702 0.0994 0.7229
Sn 0.6235 0.0527 0.2229
Sn 0.8765 0.5994 0.9292
Sn 0.5527 0.3298 0.9292
Sn 0.5994 0.8765 0.4292
Sn 0.9006 0.8298 0.7771
Sn 0.9006 0.0708 0.6235
Sn 0.8765 0.2771 0.4473
Sn 0.1702 0.0708 0.9473
Sn 0.6235 0.5708 0.9006
Sn 0.4292 0.0527 0.3298
Sn 0.2771 0.4006 0.8298
Sn 0.2229 0.5527 0.6235
Sn 0.9292 0.0994 0.8765
Sn 0.6702 0.2229 0.5994
Sn 0.4473 0.7771 0.8765
Sn 0.0527 0.4292 0.8298
Sn 0.4006 0.2771 0.3298
Sn 0.0527 0.6235 0.7229
Sn 0.6702 0.4473 0.5708
Sn 0.2771 0.8765 0.9473

Properties
spin magnetization: 0.0 μB/cell
space group: Ia-3d (230)
formation enthalpy at 0 K: 0.1686 eV/atom

VASP calculation (PBE) on ZnCd8Sn2 after structural relaxation.

Unit cell a=4.9691 b=8.2533 c=8.2533 alpha=55.90 beta=81.07 gamma=81.07
Element x y z (fractional)
Zn 0.0000 0.0000 0.0000
Cd 0.7952 0.2393 0.6327
Cd 0.2048 0.3673 0.7607
Cd 0.9166 0.2461 0.2461
Cd 0.0834 0.7539 0.7539
Cd 0.7952 0.6327 0.2393
Cd 0.2048 0.7607 0.3673
Cd 0.3460 0.3615 0.3615
Cd 0.6540 0.6385 0.6385
Sn 0.4847 0.1323 0.1323
Sn 0.5153 0.8677 0.8677

Properties
spin magnetization: 0.0 μB/cell
space group: C2/m (12)
formation enthalpy at 0 K: 0.0976 eV/atom